1.
First-principles (PBE-GGA) data for a geometry-optimized VCd3Ir structure, as listed in Alexandria via LeMat-Bulk.

Properties
Magnetization in μB per cell: 4.74
V in Å³ per cell: 129.2

abc: 5.0548 5.0548 5.0548
angles: 90.00 90.00 90.00
With the nearest neighbours (Å) after each atom.
Sites, in units of the cell vectors:
V: 0.0000 0.0000 0.0000  6 Cd 2.53
Cd: 0.0000 0.0000 0.5000  2 V 2.53
Cd: 0.0000 0.5000 0.0000  2 V 2.53
Cd: 0.5000 0.0000 0.0000  2 V 2.53
Ir: 0.5000 0.5000 0.5000  12 Cd 3.57



2.
First-principles (PBE-GGA) data for a geometry-optimized VCd2Ir structure, as listed in Alexandria via LeMat-Bulk.

Properties
Magnetization in μB per cell: 2.71
V in Å³ per cell: 70.1

abc: 4.6271 4.6271 4.6271
angles: 60.00 60.00 60.00
With the nearest neighbours (Å) after each atom.
Sites, in units of the cell vectors:
V: 0.0000 0.0000 0.0000  8 Cd 2.83
Cd: 0.2500 0.2500 0.2500  4 Ir 2.83, 4 V 2.83
Cd: 0.7500 0.7500 0.7500  4 Ir 2.83, 4 V 2.83
Ir: 0.5000 0.5000 0.5000  8 Cd 2.83



3.
First-principles (PBE-GGA) data for a geometry-optimized VCdIr3 structure, as listed in Alexandria via LeMat-Bulk.

Properties
Magnetization in μB per cell: 0.36
V in Å³ per cell: 111.4

abc: 4.8110 4.8110 4.8110
angles: 90.00 90.00 90.00
With the nearest neighbours (Å) after each atom.
Sites, in units of the cell vectors:
V: 0.0000 0.0000 0.0000  12 Ir 3.40
Cd: 0.5000 0.5000 0.5000  6 Ir 2.41
Ir: 0.0000 0.5000 0.5000  2 Cd 2.41
Ir: 0.5000 0.0000 0.5000  2 Cd 2.41
Ir: 0.5000 0.5000 0.0000  2 Cd 2.41



Going through the records in order, we get calculated formation energy values of 1635 338 2300 meV/atom.